This record from Alexandria describes an optimized crystal structure of CaAlTe2. The functional is PBE.

The structure in POSCAR format:
```
CaAlTe2
1.0
-0.321 4.170 1.073
-2.295 0.744 -3.580
-5.465 -1.255 3.243
Te Ca Al
2 1 1
Cartesian
-3.302 1.999 -0.071
-4.646 -1.067 2.757
-6.045 1.369 1.557
-2.286 -0.525 1.356
```

Values from the calculation:
SG: P4mm, No. 99
Magnetization (μB per formula unit): 0.0
Formation energy from raw total energies (meV per atom): -837
Electronic total energy (eV/atom): -3.844